[1]
{"formula": "K2PW", "functional": "meta-GGA SCAN", "state": "single point on PBEsol structure", "sg": "Cmmm, No. 65", "dft_energy_ev_per_cell": -93.0, "n_ef_per_ev_atom": 0.704, "relative_energy_ev_per_atom": 0.000, "vol_a3_per_cell": 84, "formation_energy_kj_per_mol_atoms": 91, "lattice": [[1.8714, -2.0005, 0.0000], [1.8714, 2.0005, 0.0000], [0.0000, 0.0000, 11.2160]], "species": ["K", "K", "P", "W"], "fractional_positions": [[0.0000, 0.0000, 0.2242], [0.0000, 0.0000, 0.7758], [0.5000, 0.5000, 0.0000], [0.5000, 0.5000, 0.5000]]}


[2]
{"formula": "SrLi2Ca2", "functional": "meta-GGA SCAN", "state": "single point on PBEsol structure", "sg": "I4/mmm, No. 139", "dft_energy_ev_per_cell": -45.9, "n_ef_per_ev_atom": 0.671, "relative_energy_ev_per_atom": 0.074, "vol_a3_per_cell": 177, "formation_energy_kj_per_mol_atoms": 9, "lattice": [[-1.9504, 1.9504, 11.6074], [1.9504, -1.9504, 11.6074], [1.9504, 1.9504, -11.6074]], "species": ["Sr", "Li", "Li", "Ca", "Ca"], "fractional_positions": [[0.0000, 0.0000, 0.0000], [0.2500, 0.7500, 0.5000], [0.7500, 0.2500, 0.5000], [0.3704, 0.3704, 0.0000], [0.6296, 0.6296, 0.0000]]}


[3]
{"formula": "LaReSb2", "functional": "meta-GGA SCAN", "state": "single point on PBEsol structure", "sg": "I-4m2, No. 119", "dft_energy_ev_per_cell": -187.6, "n_ef_per_ev_atom": 0.699, "relative_energy_ev_per_atom": 0.299, "vol_a3_per_cell": 91, "formation_energy_uncorrected_ev_per_atom": 0.29, "lattice": [[-2.1936, 2.1936, 4.7429], [2.1936, -2.1936, 4.7429], [2.1936, 2.1936, -4.7429]], "species": ["La", "Re", "Sb", "Sb"], "fractional_positions": [[0.0000, 0.0000, 0.0000], [0.7500, 0.2500, 0.5000], [0.2500, 0.7500, 0.5000], [0.5000, 0.5000, 0.0000]]}


[4]
{"formula": "BeFeNi2Pt", "functional": "meta-GGA SCAN", "state": "single point on PBEsol structure", "sg": "P4/mmm, No. 123", "dft_energy_ev_per_cell": -118.3, "n_ef_per_ev_atom": 0.986, "vol_a3_per_cell": 93, "formation_energy_kj_per_mol_atoms": 130, "lattice": [[4.5240, 0.0000, 0.0000], [0.0000, 4.5240, 0.0000], [0.0000, 0.0000, 4.5376]], "species": ["Be", "Fe", "Ni", "Ni", "Pt"], "fractional_positions": [[0.0000, 0.0000, 0.0000], [0.5000, 0.5000, 0.0000], [0.0000, 0.5000, 0.5000], [0.5000, 0.0000, 0.5000], [0.5000, 0.5000, 0.5000]]}


[5]
{"formula": "FePCl", "functional": "meta-GGA SCAN", "state": "single point on PBEsol structure", "sg": "Immm, No. 71", "dft_energy_ev_per_cell": -75.5, "n_ef_per_ev_atom": 0.489, "relative_energy_ev_per_atom": 0.000, "vol_a3_per_cell": 112, "formation_energy_uncorrected_ev_per_atom": -0.42, "lattice": [[-1.7152, 1.7337, 9.4488], [1.7152, -1.7337, 9.4488], [1.7152, 1.7337, -9.4488]], "species": ["Fe", "Fe", "P", "P", "Cl", "Cl"], "fractional_positions": [[0.1784, 0.1784, 0.0000], [0.8216, 0.8216, 0.0000], [0.2510, 0.7510, 0.5000], [0.7490, 0.2490, 0.5000], [0.0970, 0.5970, 0.5000], [0.9030, 0.4029, 0.5000]]}


[6]
{"formula": "Cr2CdRh", "functional": "meta-GGA SCAN", "state": "single point on PBEsol structure", "sg": "I4/mmm, No. 139", "dft_energy_ev_per_cell": -99.2, "n_ef_per_ev_atom": 0.956, "vol_a3_per_cell": 55, "formation_energy_kj_per_mol_atoms": 42, "lattice": [[-1.8226, 1.8226, 4.1112], [1.8226, -1.8226, 4.1112], [1.8226, 1.8226, -4.1112]], "species": ["Cr", "Cr", "Cd", "Rh"], "fractional_positions": [[0.2500, 0.7500, 0.5000], [0.7500, 0.2500, 0.5000], [0.0000, 0.0000, 0.0000], [0.5000, 0.5000, 0.0000]]}


Repeat the fifth record exactly.
{"formula": "FePCl", "functional": "meta-GGA SCAN", "state": "single point on PBEsol structure", "sg": "Immm, No. 71", "dft_energy_ev_per_cell": -75.5, "n_ef_per_ev_atom": 0.489, "relative_energy_ev_per_atom": 0.000, "vol_a3_per_cell": 112, "formation_energy_uncorrected_ev_per_atom": -0.42, "lattice": [[-1.7152, 1.7337, 9.4488], [1.7152, -1.7337, 9.4488], [1.7152, 1.7337, -9.4488]], "species": ["Fe", "Fe", "P", "P", "Cl", "Cl"], "fractional_positions": [[0.1784, 0.1784, 0.0000], [0.8216, 0.8216, 0.0000], [0.2510, 0.7510, 0.5000], [0.7490, 0.2490, 0.5000], [0.0970, 0.5970, 0.5000], [0.9030, 0.4029, 0.5000]]}